No. 1
This record from Alexandria describes CsBePS after structural relaxation. The functional is PBE.

E_form (uncorrected), eV/atom: -0.422
Mass density, g cm⁻³: 3.46
Total magnetic moment, Bohr magnetons per cell: 0.0
E above lowest polymorph, eV/atom: 0.076
Volume, Å³/f.u.: 98

a = 4.028 Å, b = 4.028 Å, c = 7.245 Å
α = 101.62°, β = 101.62°, γ = 59.21°
Positions (direct):
Cs (0.000, 0.000, 0.000)
Be (0.742, 0.742, 0.429)
P (0.392, 0.392, 0.391)
S (0.611, 0.611, 0.653)

=====

No. 2
This record from Alexandria describes Pr3Au11 after structural relaxation. The functional is PBE.

Mass density, g cm⁻³: 13.85
Total magnetic moment, Bohr magnetons per cell: 0.0
Energy of formation, eV/atom: -0.539
Volume, Å³/f.u.: 311

a = 8.691 Å, b = 8.691 Å, c = 8.691 Å
α = 148.87°, β = 111.27°, γ = 77.37°
Positions (direct):
Pr (0.000, 0.000, 0.000)
Pr (0.301, 0.301, 0.000)
Pr (0.699, 0.699, 0.000)
Au (0.029, 0.666, 0.363)
Au (0.151, 0.870, 0.281)
Au (0.303, 0.666, 0.637)
Au (0.316, 0.500, 0.816)
Au (0.411, 0.130, 0.281)
Au (0.500, 0.000, 0.500)
Au (0.589, 0.870, 0.719)
Au (0.684, 0.500, 0.184)
Au (0.697, 0.334, 0.363)
Au (0.849, 0.130, 0.719)
Au (0.971, 0.334, 0.637)